Material: AcTeF2
Method: DFT, PBE-GGA
State: optimized geometry

ΔE_f (raw): -2.905 eV/atom
size of the total moment: 0.00 μB/f.u.
crystal system: trigonal
calculated volume: 286.38 Å³/cell
density: 6.83 g cm⁻³

abc: 4.2358 4.2358 18.4310
angles: 90.00 90.00 120.00
Last column: nearest neighbours and their distance in Å.
Space group R-3m (No. 166, hexagonal axes)
Symmetry-distinct sites (fractional):
1 Ac 0.0000 0.0000 0.0000 x3  6 F 2.50
2 Te 0.0000 0.0000 0.5000 x3  8 F 3.53-3.60, 6 Ac 3.93
3 F 0.0000 0.0000 0.3046 x6  3 Ac 2.50, 3 F 2.67



Material: SmInTe5Pb2
Method: DFT, PBE-GGA
State: optimized geometry

ΔE_f (raw): -0.631 eV/atom
size of the total moment: 0.00 μB/f.u.
crystal system: orthorhombic
calculated volume: 1298.80 Å³/cell
density: 6.74 g cm⁻³

abc: 4.4460 20.4571 14.2799
angles: 90.00 90.00 90.00
Last column: nearest neighbours and their distance in Å.
Space group Cmc2_1 (No. 36)
Symmetry-distinct sites (fractional):
1 Sm 0.0000 0.1961 0.0000 x4  6 Te 3.13-3.25
2 In 0.0000 0.4485 0.4105 x4  4 Te 2.78-2.89
3 Te 0.0000 0.0392 0.0332 x4  2 In 2.84
4 Te 0.0000 0.2988 0.6567 x4  1 Pb 3.07, 2 Sm 3.16
5 Te 0.0000 0.3154 0.3430 x4  1 In 2.89, 2 Sm 3.17
6 Te 0.0000 0.3488 0.9930 x4  1 Sm 3.13, 2 Pb 3.13
7 Te 0.0000 0.4765 0.7486 x4  1 In 2.78
8 Pb 0.0000 0.1253 0.3064 x4  6 Te 3.16-3.51
9 Pb 0.0000 0.1488 0.6470 x4  3 Te 3.07-3.13



Material: MgCo2Au
Method: DFT, PBE-GGA
State: optimized geometry

size of the total moment: 3.16 μB/f.u.
crystal system: cubic
calculated volume: 228.83 Å³/cell
density: 9.84 g cm⁻³
energy of formation: 76.1 meV/atom

abc: 6.1165 6.1165 6.1165
angles: 90.00 90.00 90.00
Last column: nearest neighbours and their distance in Å.
Space group F-43m (No. 216)
Symmetry-distinct sites (fractional):
1 Mg 0.0000 0.0000 0.0000 x4  4 Co 2.65, 4 Au 2.65
2 Co 0.0000 0.0000 0.5000 x4  4 Au 2.65, 4 Co 2.65
3 Co 0.2500 0.2500 0.2500 x4  4 Co 2.65, 4 Mg 2.65
4 Au 0.2500 0.2500 0.7500 x4  4 Co 2.65, 4 Mg 2.65



Material: Zr2CrHg
Method: DFT, PBE-GGA
State: optimized geometry

size of the total moment: 2.07 μB/f.u.
crystal system: monoclinic
calculated volume: 81.26 Å³/cell
density: 8.89 g cm⁻³
energy above the lowest structure with this stoichiometry: 105 meV/atom
energy of formation: 90.5 meV/atom

abc: 3.2182 4.7488 5.3507
angles: 90.00 96.40 90.00
Last column: nearest neighbours and their distance in Å.
Space group Pm (No. 6)
Symmetry-distinct sites (fractional):
1 Zr 0.0000 0.0000 0.0000 x1  4 Cr 2.87-3.04, 3 Hg 2.92-3.01, 4 Zr 3.17-3.22
2 Zr 0.1819 0.5000 0.6363 x1  2 Cr 2.80-3.10, 4 Hg 2.94-3.07
3 Cr 0.5712 0.5000 0.1319 x1  6 Zr 2.80-3.10, 2 Hg 2.97
4 Hg 0.6135 0.0000 0.4681 x1  7 Zr 2.92-3.07, 2 Cr 2.97, 2 Hg 3.22



Material: CsCd3Sn2
Method: DFT, PBE-GGA
State: optimized geometry

size of the total moment: 0.00 μB/f.u.
crystal system: monoclinic
calculated volume: 834.11 Å³/cell
density: 5.63 g cm⁻³
energy above the lowest structure with this stoichiometry: 45 meV/atom
energy of formation: -71.7 meV/atom

abc: 20.5286 4.8538 8.3897
angles: 90.00 93.82 90.00
Last column: nearest neighbours and their distance in Å.
Space group C2/m (No. 12)
Symmetry-distinct sites (fractional):
1 Cs 0.0910 0.0000 0.2369 x4  6 Sn 4.02-4.18, 8 Cd 4.06-4.48
2 Cd 0.1063 0.0000 0.7543 x4  3 Sn 2.84-3.01, 2 Cd 3.08
3 Cd 0.1770 0.5000 0.9133 x4  3 Sn 2.90-3.15, 3 Cd 3.08-3.12
4 Cd 0.2030 0.5000 0.5512 x4  4 Sn 2.94-3.20, 3 Cd 3.12-3.25
5 Sn 0.0592 0.5000 0.6126 x4  3 Cd 2.84-3.03, 1 Sn 2.98
6 Sn 0.2467 0.5000 0.2249 x4  7 Cd 2.90-3.20



Material: Nd3GaNi
Method: DFT, PBE-GGA
State: optimized geometry

size of the total moment: 0.00 μB/f.u.
crystal system: monoclinic
calculated volume: 528.36 Å³/cell
density: 7.05 g cm⁻³
energy above the lowest structure with this stoichiometry: 0 meV/atom
energy of formation: -324.9 meV/atom

abc: 10.2337 6.5918 8.6601
angles: 90.00 115.25 90.00
Last column: nearest neighbours and their distance in Å.
Space group C2/m (No. 12)
Symmetry-distinct sites (fractional):
1 Nd 0.0214 0.0000 0.2330 x4  2 Ni 2.80, 2 Ga 3.13
2 Nd 0.1843 0.5000 0.8692 x4  2 Ni 2.88, 2 Ga 3.22
3 Nd 0.2061 0.5000 0.3320 x4  2 Ni 3.02, 4 Ga 3.30-3.37
4 Ga 0.0000 0.3015 0.5000 x4  1 Ga 2.62
5 Ni 0.0000 0.3081 0.0000 x4  1 Ni 2.53, 2 Nd 2.80



Material: La2Y
Method: DFT, PBE-GGA
State: optimized geometry

size of the total moment: 0.00 μB/f.u.
crystal system: hexagonal
calculated volume: 105.74 Å³/cell
density: 5.76 g cm⁻³
energy above the lowest structure with this stoichiometry: 43 meV/atom
energy of formation: 58.3 meV/atom

abc: 5.8349 5.8349 3.5861
angles: 90.00 90.00 120.00
Last column: nearest neighbours and their distance in Å.
Space group P6/mmm (No. 191)
Symmetry-distinct sites (fractional):
1 La 0.3333 0.6667 0.0000 x2  5 La 3.37-3.59
2 Y 0.0000 0.0000 0.5000 x1  2 Y 3.59, 12 La 3.82



Material: NaLaTi2Cu
Method: DFT, PBE-GGA
State: optimized geometry

size of the total moment: 3.36 μB/f.u.
crystal system: tetragonal
calculated volume: 122.36 Å³/cell
density: 4.36 g cm⁻³
energy of formation: 600.2 meV/atom

abc: 4.8709 4.8709 5.1575
angles: 90.00 90.00 90.00
Last column: nearest neighbours and their distance in Å.
Space group P4/mmm (No. 123)
Symmetry-distinct sites (fractional):
1 Na 0.0000 0.0000 0.0000 x1  2 Cu 2.58
2 La 0.5000 0.5000 0.0000 x1  4 Na 3.44, 8 Ti 3.55
3 Ti 0.0000 0.5000 0.5000 x2  2 Cu 2.44
4 Cu 0.0000 0.0000 0.5000 x1  4 Ti 2.44, 2 Na 2.58